Computed, not measured: HoNi after structural relaxation at the PBE-GGA level of DFT.

```
data_HoNi
_chemical_formula_sum 'Ho4 Ni4'
_cell_length_a 6.954
_cell_length_b 4.207
_cell_length_c 5.380
_cell_angle_alpha 90.00
_cell_angle_beta 90.00
_cell_angle_gamma 90.00
_symmetry_space_group_name_H-M 'P n m a'
_symmetry_Int_Tables_number 62
_symmetry_space_group_name_Hall '-P 2ac 2n'
loop_
_atom_site_label
_atom_site_fract_x
_atom_site_fract_y
_atom_site_fract_z
Ho1 0.180 0.250 0.134
Ni1 0.037 0.250 0.627
```

Computed properties:
D(E_F) (states/eV/cell): 4.6
Energy (eV/atom): -5.6516
Crystal system: orthorhombic